Entry 1:
The following is a DFT calculation (PBE) of a geometry-optimized Cu3Ag structure.

CIF file:
```
data_Cu3Ag
_chemical_formula_sum 'Cu3 Ag1'
_symmetry_space_group_name_H-M 'P 1'
_symmetry_Int_Tables_number 1
_symmetry_space_group_name_Hall 'P 1'
_cell_length_a 2.6955
_cell_length_b 4.3282
_cell_length_c 4.6616
_cell_angle_alpha 90.00
_cell_angle_beta 90.00
_cell_angle_gamma 90.00
loop_
_atom_site_label
_atom_site_type_symbol
_atom_site_fract_x
_atom_site_fract_y
_atom_site_fract_z
_atom_site_occupancy
Cu1 Cu 0.0000 0.0000 0.0000 1
Cu2 Cu 0.0000 0.5000 0.3169 1
Cu3 Cu 0.5000 0.0000 0.4698 1
Ag1 Ag 0.5000 0.5000 0.8148 1
```

Computed properties:
- Energy of formation from the pure elements: 0.107 eV/atom
- Space-group type: No. 25



Entry 2:
The following is a DFT calculation (PBE) of a geometry-optimized CsTeIO2 structure.

CIF file:
```
data_CsTeIO2
_chemical_formula_sum 'Cs1 Te1 I1 O2'
_symmetry_space_group_name_H-M 'P 1'
_symmetry_Int_Tables_number 1
_symmetry_space_group_name_Hall 'P 1'
_cell_length_a 4.5840
_cell_length_b 4.5840
_cell_length_c 6.0812
_cell_angle_alpha 90.00
_cell_angle_beta 90.00
_cell_angle_gamma 90.00
loop_
_atom_site_label
_atom_site_type_symbol
_atom_site_fract_x
_atom_site_fract_y
_atom_site_fract_z
_atom_site_occupancy
Cs1 Cs 0.0000 0.0000 0.0000 1
Te1 Te 0.5000 0.5000 0.5000 1
I1 I 0.5000 0.5000 0.0000 1
O1 O 0.0000 0.5000 0.5000 1
O2 O 0.5000 0.0000 0.5000 1
```

Computed properties:
- Offset from the most stable computed form: 0.000 eV/atom
- Formation energy without anion corrections: -0.502 eV per atom
- Space-group type: No. 123



Entry 3:
The following is a DFT calculation (PBE) of a geometry-optimized Be2InMo structure.

CIF file:
```
data_Be2InMo
_chemical_formula_sum 'Be2 In1 Mo1'
_symmetry_space_group_name_H-M 'P 1'
_symmetry_Int_Tables_number 1
_symmetry_space_group_name_Hall 'P 1'
_cell_length_a 2.8499
_cell_length_b 3.7341
_cell_length_c 5.3369
_cell_angle_alpha 90.00
_cell_angle_beta 90.00
_cell_angle_gamma 90.00
loop_
_atom_site_label
_atom_site_type_symbol
_atom_site_fract_x
_atom_site_fract_y
_atom_site_fract_z
_atom_site_occupancy
Be1 Be 0.0000 0.0000 0.1880 1
Be2 Be 0.0000 0.0000 0.8120 1
In1 In 0.0000 0.5000 0.5000 1
Mo1 Mo 0.5000 0.5000 0.0000 1
```

Computed properties:
- Energy of formation from the pure elements: 0.244 eV/atom
- Space-group type: No. 47



Entry 4:
The following is a DFT calculation (PBE) of a geometry-optimized LaHo2ThBi4 structure.

CIF file:
```
data_LaHo2ThBi4
_chemical_formula_sum 'La1 Ho2 Th1 Bi4'
_symmetry_space_group_name_H-M 'P 1'
_symmetry_Int_Tables_number 1
_symmetry_space_group_name_Hall 'P 1'
_cell_length_a 7.8466
_cell_length_b 4.5653
_cell_length_c 7.9113
_cell_angle_alpha 90.00
_cell_angle_beta 109.55
_cell_angle_gamma 90.00
loop_
_atom_site_label
_atom_site_type_symbol
_atom_site_fract_x
_atom_site_fract_y
_atom_site_fract_z
_atom_site_occupancy
La1 La 0.0000 0.0000 0.0000 1
Ho1 Ho 0.5000 0.0000 0.5000 1
Ho2 Ho 0.5000 0.5000 0.0000 1
Th1 Th 0.0000 0.5000 0.5000 1
Bi1 Bi 0.2611 0.0000 0.7514 1
Bi2 Bi 0.2621 0.5000 0.2568 1
Bi3 Bi 0.7379 0.5000 0.7432 1
Bi4 Bi 0.7389 0.0000 0.2486 1
```

Computed properties:
- Energy of formation from the pure elements: -0.834 eV/atom
- Space-group type: No. 10



Entry 5:
The following is a DFT calculation (PBE) of a geometry-optimized Pm2Ho3Cd2 structure.

CIF file:
```
data_Pm2Ho3Cd2
_chemical_formula_sum 'Pm2 Ho3 Cd2'
_symmetry_space_group_name_H-M 'P 1'
_symmetry_Int_Tables_number 1
_symmetry_space_group_name_Hall 'P 1'
_cell_length_a 8.6046
_cell_length_b 8.6046
_cell_length_c 8.6046
_cell_angle_alpha 36.77
_cell_angle_beta 36.77
_cell_angle_gamma 36.77
loop_
_atom_site_label
_atom_site_type_symbol
_atom_site_fract_x
_atom_site_fract_y
_atom_site_fract_z
_atom_site_occupancy
Pm1 Pm 0.0750 0.0750 0.0750 1
Pm2 Pm 0.9250 0.9250 0.9250 1
Ho1 Ho 0.3441 0.3441 0.3441 1
Ho2 Ho 0.5000 0.5000 0.5000 1
Ho3 Ho 0.6559 0.6559 0.6559 1
Cd1 Cd 0.2128 0.2128 0.2128 1
Cd2 Cd 0.7872 0.7872 0.7872 1
```

Computed properties:
- Offset from the most stable computed form: 0.000 eV/atom
- Energy of formation from the pure elements: -0.145 eV/atom
- Space-group type: No. 166



Entry 6:
The following is a DFT calculation (PBE) of a geometry-optimized Ac2TmPb9 structure.

CIF file:
```
data_Ac2TmPb9
_chemical_formula_sum 'Ac2 Tm1 Pb9'
_symmetry_space_group_name_H-M 'P 1'
_symmetry_Int_Tables_number 1
_symmetry_space_group_name_Hall 'P 1'
_cell_length_a 5.0207
_cell_length_b 5.0207
_cell_length_c 14.8520
_cell_angle_alpha 90.00
_cell_angle_beta 90.00
_cell_angle_gamma 90.00
loop_
_atom_site_label
_atom_site_type_symbol
_atom_site_fract_x
_atom_site_fract_y
_atom_site_fract_z
_atom_site_occupancy
Ac1 Ac 0.0000 0.0000 0.1715 1
Ac2 Ac 0.0000 0.0000 0.8285 1
Tm1 Tm 0.0000 0.0000 0.5000 1
Pb1 Pb 0.0000 0.5000 0.0000 1
Pb2 Pb 0.0000 0.5000 0.3451 1
Pb3 Pb 0.0000 0.5000 0.6549 1
Pb4 Pb 0.5000 0.0000 0.0000 1
Pb5 Pb 0.5000 0.0000 0.3451 1
Pb6 Pb 0.5000 0.0000 0.6549 1
Pb7 Pb 0.5000 0.5000 0.1717 1
Pb8 Pb 0.5000 0.5000 0.5000 1
Pb9 Pb 0.5000 0.5000 0.8283 1
```

Computed properties:
- Energy of formation from the pure elements: -0.348 eV/atom
- Space-group type: No. 123



Entry 7:
The following is a DFT calculation (PBE) of a geometry-optimized CsIn2Hg8 structure.

CIF file:
```
data_CsIn2Hg8
_chemical_formula_sum 'Cs1 In2 Hg8'
_symmetry_space_group_name_H-M 'P 1'
_symmetry_Int_Tables_number 1
_symmetry_space_group_name_Hall 'P 1'
_cell_length_a 6.7195
_cell_length_b 6.7195
_cell_length_c 9.8526
_cell_angle_alpha 90.00
_cell_angle_beta 90.00
_cell_angle_gamma 90.00
loop_
_atom_site_label
_atom_site_type_symbol
_atom_site_fract_x
_atom_site_fract_y
_atom_site_fract_z
_atom_site_occupancy
Cs1 Cs 0.0000 0.0000 0.0000 1
In1 In 0.0000 0.5000 0.5000 1
In2 In 0.5000 0.0000 0.5000 1
Hg1 Hg 0.2620 0.2620 0.2979 1
Hg2 Hg 0.2620 0.2620 0.7021 1
Hg3 Hg 0.2620 0.7380 0.2979 1
Hg4 Hg 0.2620 0.7380 0.7021 1
Hg5 Hg 0.7380 0.2620 0.2979 1
Hg6 Hg 0.7380 0.2620 0.7021 1
Hg7 Hg 0.7380 0.7380 0.2979 1
Hg8 Hg 0.7380 0.7380 0.7021 1
```

Computed properties:
- Energy of formation from the pure elements: 0.010 eV/atom
- Space-group type: No. 123



Entry 8:
The following is a DFT calculation (PBE) of a geometry-optimized Tb8Ho2Th3 structure.

CIF file:
```
data_Tb8Ho2Th3
_chemical_formula_sum 'Tb8 Ho2 Th3'
_symmetry_space_group_name_H-M 'P 1'
_symmetry_Int_Tables_number 1
_symmetry_space_group_name_Hall 'P 1'
_cell_length_a 10.6978
_cell_length_b 10.6978
_cell_length_c 5.5956
_cell_angle_alpha 90.10
_cell_angle_beta 90.10
_cell_angle_gamma 43.10
loop_
_atom_site_label
_atom_site_type_symbol
_atom_site_fract_x
_atom_site_fract_y
_atom_site_fract_z
_atom_site_occupancy
Tb1 Tb 0.0976 0.6876 0.9992 1
Tb2 Tb 0.1704 0.1704 0.5021 1
Tb3 Tb 0.3124 0.9024 0.0008 1
Tb4 Tb 0.3708 0.3708 0.5010 1
Tb5 Tb 0.6292 0.6292 0.4990 1
Tb6 Tb 0.6876 0.0976 0.9992 1
Tb7 Tb 0.8296 0.8296 0.4979 1
Tb8 Tb 0.9024 0.3124 0.0008 1
Ho1 Ho 0.2605 0.2605 0.0025 1
Ho2 Ho 0.7395 0.7395 0.9975 1
Th1 Th 0.2052 0.7948 0.5000 1
Th2 Th 0.5000 0.5000 0.0000 1
Th3 Th 0.7948 0.2052 0.5000 1
```

Computed properties:
- Energy of formation from the pure elements: 0.269 eV/atom
- Space-group type: No. 12



The records above give, respectively, uncorrected energy values of -14.7; -18.0; -20.0; -43.7; -26.1; -50.2; -8.6; -65.0 eV per cell.
The records above give, respectively, spin magnetization values of 0.0; 0.0; 0.0; 0.0; 0.0; 0.0; 0.0; 0.0 μB/cell.